Below is HfAgGe after structural relaxation, with properties calculated at the GGA-PBE level.

Calculated values
DFT total energy, eV per atom: -5.67

Lattice parameters (Å, degrees): 4.4366 4.4366 4.4366 60.00 60.00 60.00
Element x y z (fractional)
Ag 0.0000 0.0000 0.0000
Ge 0.2500 0.2500 0.2500
Hf 0.7500 0.7500 0.7500